(1)
10
Lattice="-1.538 -4.439 1.632 -2.705 -0.319 4.161 -4.817 -1.210 -0.252" Properties=species:S:1:pos:R:3 comment="MgCu2H6Ir GGA-PBE optimized geometry" spacegroup=Fm-3m energy_ev_per_atom=-3.54 pbc="T T T"
Cu -2.265 -1.492 1.385
Cu -6.795 -4.476 4.155
H -2.958 -3.749 2.172
H -3.571 -1.584 3.501
H -4.379 -3.917 4.358
H -4.681 -2.052 1.182
H -5.489 -4.384 2.039
H -6.102 -2.220 3.368
Ir 0.000 0.000 0.000
Mg -4.530 -2.984 2.770

(2)
7
Lattice="-6.068 3.026 3.026 -3.026 3.026 6.068 -3.026 6.068 3.026" Properties=species:S:1:pos:R:3 comment="Ga2Os3W2 GGA-PBE optimized geometry" spacegroup=R3m energy_ev_per_atom=-9.31 pbc="T T T"
Ga -2.891 2.891 2.891
Ga -9.169 9.169 9.169
Os -4.549 4.549 4.549
Os -7.588 7.588 7.588
Os -10.633 10.633 10.633
W -0.062 0.062 0.062
W -6.012 6.012 6.012

(3)
18
Lattice="5.526 0.000 0.000 -2.763 4.786 0.000 0.000 0.000 8.895" Properties=species:S:1:pos:R:3 comment="K2IrF6 GGA-PBE optimized geometry" spacegroup=P6_3mc energy_ev_per_atom=-4.58 pbc="T T T"
F 2.763 0.000 1.139
F -1.382 2.393 1.139
F 1.382 2.393 1.139
F 0.000 1.551 3.407
F -1.420 4.011 3.407
F 1.420 4.011 3.407
F 2.763 0.000 5.587
F 1.382 2.393 5.587
F -1.382 2.393 5.587
F 1.343 0.775 7.855
F 4.183 0.775 7.855
F 2.763 3.235 7.855
Ir 2.763 1.595 0.014
Ir 0.000 3.191 4.462
K 0.000 0.000 1.290
K 2.763 1.595 3.395
K 0.000 0.000 5.737
K 0.000 3.191 7.842

(4)
3
Lattice="0.000 3.264 3.264 3.264 0.000 3.264 3.264 3.264 0.000" Properties=species:S:1:pos:R:3 comment="NaIrPb GGA-PBE optimized geometry" spacegroup=F-43m energy_ev_per_atom=-4.33 pbc="T T T"
Ir 0.000 0.000 0.000
Na 1.632 1.632 1.632
Pb 4.896 4.896 4.896

(5)
8
Lattice="-3.270 -0.545 -1.323 2.476 -6.885 -3.283 -2.043 -3.913 6.666" Properties=species:S:1:pos:R:3 comment="CsHfAsO GGA-PBE optimized geometry" spacegroup=Pmc2_1 energy_ev_per_atom=-6.53 pbc="T T T"
As 1.887 -7.739 -1.475
As -1.494 -3.134 4.986
Cs -0.953 -2.469 -1.444
Cs -0.991 -7.161 0.585
Hf -0.525 -3.251 2.639
Hf -0.028 -9.433 3.957
O -1.828 -4.268 1.463
O -1.918 -8.815 3.561

(6)
3
Lattice="-5.638 0.223 1.975 -3.607 4.434 -1.750 -4.525 -1.127 -3.741" Properties=species:S:1:pos:R:3 comment="CsNaTa GGA-PBE optimized geometry" spacegroup=F-43m energy_ev_per_atom=-2.42 pbc="T T T"
Cs 0.000 0.000 0.000
Na -3.442 0.883 -0.879
Ta -10.327 2.648 -2.636

(7)
4
Lattice="2.683 -0.528 3.743 2.325 3.625 1.715 -1.275 1.866 4.047" Properties=species:S:1:pos:R:3 comment="TaCuMoPb GGA-PBE optimized geometry" spacegroup=F-43m energy_ev_per_atom=-6.96 pbc="T T T"
Cu 2.800 3.722 7.129
Mo 0.933 1.241 2.376
Pb 0.000 0.000 0.000
Ta 1.866 2.481 4.752

(8)
12
Lattice="2.168 -7.113 0.000 2.168 7.113 0.000 0.000 0.000 11.738" Properties=species:S:1:pos:R:3 comment="PrTmPbSe3 GGA-PBE optimized geometry" spacegroup=Cmcm energy_ev_per_atom=-5.05 pbc="T T T"
Pb 2.168 -3.979 2.935
Pb 2.168 3.979 8.804
Pr 0.000 0.000 0.000
Pr 0.000 0.000 5.869
Se 2.168 2.016 0.631
Se 2.168 5.959 2.935
Se 2.168 2.016 5.238
Se 2.168 -2.016 6.500
Se 2.168 -5.959 8.804
Se 2.168 -2.016 11.107
Tm 2.168 0.535 2.935
Tm 2.168 -0.535 8.804